[1]
Ba2HfBi: relaxed, GGA-PBE.

```
Ba2HfBi
1.0
3.886 0.643 4.232
0.285 4.975 2.932
-1.736 0.211 5.510
Ba Hf Bi
2 1 1
direct
0.750 0.750 0.750
0.000 0.000 0.000
0.250 0.250 0.250
0.500 0.500 0.500
```

## Properties
SG	F-43m
final energy	-16.6	eV for the cell shown


[2]
GdAsOsO: relaxed, GGA-PBE.

```
GdAsOsO
1.0
-0.875 1.910 3.492
-0.166 -3.590 1.922
7.892 0.537 1.685
Gd As Os O
2 2 2 2
direct
0.000 0.500 0.868
0.500 0.000 0.132
0.500 0.000 0.670
0.000 0.500 0.330
0.500 0.500 0.500
0.000 0.000 0.500
0.000 0.000 0.000
0.500 0.500 0.000
```

## Properties
SG	P4/nmm
ΔE to the lowest computed polymorph	0.000	eV/atom


[3]
Zr4ZnCoN2: relaxed, GGA-PBE.

```
Zr4ZnCoN2
1.0
-1.576 -2.485 1.402
2.168 1.730 1.713
-9.846 8.458 3.918
N Co Zr Zn
2 1 4 1
direct
0.000 0.000 0.259
0.000 0.000 0.741
0.333 0.667 0.500
0.333 0.667 0.167
0.333 0.667 0.833
0.667 0.333 0.641
0.667 0.333 0.359
0.667 0.333 0.000
```

## Properties
SG	P-6m2
final energy	-66.0	eV for the cell shown


[4]
Cu7Te2: relaxed, GGA-PBE.

```
Cu7Te2
1.0
2.572 -1.485 0.000
2.572 1.485 0.000
-0.002 0.000 24.216
Cu Te
7 2
direct
0.000 0.000 0.500
0.000 0.000 0.725
0.333 0.333 0.425
0.333 0.333 0.650
0.000 0.000 0.275
0.667 0.667 0.350
0.667 0.667 0.575
0.667 0.667 0.818
0.333 0.333 0.182
```

## Properties
SG	P-3m1
final energy	-29.2	eV for the cell shown


[5]
PmCl2: relaxed, GGA-PBE.

```
PmCl2
1.0
-4.670 -1.810 -4.911
1.898 -6.720 0.672
-2.494 -0.451 2.537
Cl Pm
4 2
direct
0.220 0.780 0.500
0.780 0.220 0.500
0.280 0.280 0.000
0.720 0.720 0.000
0.500 0.500 0.500
0.000 0.000 0.000
```

## Properties
SG	P4_2/mnm
ΔE to the lowest computed polymorph	0.000	eV/atom


[6]
ZrInCoCu: relaxed, GGA-PBE.

```
ZrInCoCu
1.0
0.000 3.175 3.175
3.175 0.000 3.175
3.175 3.175 0.000
Cu Co Zr In
1 1 1 1
direct
0.250 0.250 0.250
0.750 0.750 0.750
0.500 0.500 0.500
0.000 0.000 0.000
```

## Properties
SG	F-43m
ΔE to the lowest computed polymorph	0.000	eV/atom


[7]
PrTaN2O: relaxed, GGA-PBE.

```
PrTaN2O
1.0
7.970 0.000 0.000
0.000 8.176 0.000
-7.910 0.000 7.972
Ta O N Pr
8 8 16 8
direct
0.762 0.750 0.254
0.762 0.750 0.754
0.238 0.750 0.242
0.238 0.250 0.746
0.238 0.250 0.246
0.762 0.250 0.758
0.238 0.750 0.742
0.762 0.250 0.258
0.428 0.749 0.002
0.572 0.251 0.998
0.428 0.250 0.676
0.428 0.751 0.502
0.572 0.750 0.824
0.572 0.249 0.498
0.572 0.750 0.324
0.428 0.250 0.176
0.941 0.249 0.498
0.941 0.251 0.998
0.058 0.250 0.307
0.283 0.000 0.767
0.281 0.000 0.265
0.719 0.000 0.735
0.717 0.000 0.233
0.283 0.500 0.267
0.281 0.500 0.765
0.942 0.750 0.693
0.719 0.500 0.235
0.058 0.250 0.807
0.942 0.750 0.193
0.059 0.749 0.002
0.717 0.500 0.733
0.059 0.751 0.502
0.743 0.000 0.997
0.742 0.000 0.496
0.258 0.000 0.504
0.258 0.500 0.004
0.257 0.500 0.503
0.743 0.500 0.497
0.742 0.500 0.996
0.257 0.000 0.003
```

## Properties
SG	P2_1/c
final energy	-382.3	eV for the cell shown


[8]
Dy2Ni7Sn3: relaxed, GGA-PBE.

```
Dy2Ni7Sn3
1.0
-6.597 -0.193 3.661
-4.000 2.830 -7.059
-3.645 -9.772 -7.083
Sn Ni Dy
12 28 8
direct
0.250 0.144 0.212
0.750 0.532 0.437
0.205 0.562 0.877
0.295 0.062 0.877
0.705 0.938 0.123
0.750 0.032 0.437
0.795 0.438 0.123
0.250 0.644 0.212
0.250 0.968 0.563
0.750 0.356 0.788
0.250 0.468 0.563
0.750 0.856 0.788
0.646 0.047 0.907
0.810 0.835 0.330
0.146 0.453 0.093
0.190 0.165 0.670
0.408 0.877 0.768
0.854 0.547 0.907
0.310 0.665 0.670
0.421 0.451 0.395
0.445 0.399 0.202
0.055 0.899 0.202
0.079 0.654 0.395
0.579 0.549 0.605
0.092 0.377 0.768
0.079 0.951 0.395
0.555 0.601 0.798
0.921 0.346 0.605
0.908 0.623 0.232
0.908 0.145 0.232
0.408 0.355 0.768
0.592 0.123 0.232
0.690 0.335 0.330
0.921 0.049 0.605
0.354 0.953 0.093
0.092 0.855 0.768
0.579 0.846 0.605
0.421 0.154 0.395
0.592 0.645 0.232
0.945 0.101 0.798
0.427 0.806 0.387
0.573 0.194 0.613
0.500 0.293 0.000
0.073 0.306 0.387
0.927 0.694 0.613
0.500 0.707 0.000
0.000 0.793 0.000
0.000 0.207 0.000
```

## Properties
SG	Cmce
final energy	-261.8	eV for the cell shown


[9]
Pr2AlGaBr2: relaxed, GGA-PBE.

```
Pr2AlGaBr2
1.0
4.288 0.000 0.000
-2.144 3.713 0.000
0.000 0.000 11.820
Al Pr Br Ga
1 2 2 1
direct
0.333 0.667 0.983
0.667 0.333 0.182
0.667 0.333 0.816
0.333 0.667 0.335
0.000 0.000 0.664
0.000 0.000 0.020
```

## Properties
SG	P3m1
final energy	-26.9	eV for the cell shown


[10]
AcTbAsO: relaxed, GGA-PBE.

```
AcTbAsO
1.0
-0.320 -0.580 -4.496
0.615 -4.471 0.533
-9.037 -1.149 0.792
Tb As Ac O
2 2 2 2
direct
0.000 0.500 0.077
0.500 0.000 0.923
0.000 0.500 0.730
0.500 0.000 0.270
0.500 0.500 0.500
0.000 0.000 0.500
0.000 0.000 0.000
0.500 0.500 0.000
```

## Properties
SG	P4/nmm
ΔE to the lowest computed polymorph	0.421	eV/atom


[11]
ErTcAu: relaxed, GGA-PBE.

```
ErTcAu
1.0
0.000 3.242 3.242
3.242 0.000 3.242
3.242 3.242 0.000
Tc Er Au
1 1 1
direct
0.750 0.750 0.750
0.000 0.000 0.000
0.250 0.250 0.250
```

## Properties
SG	F-43m
energy of formation	2.0	eV per formula unit


[12]
NaMgNiSb: relaxed, GGA-PBE.

```
NaMgNiSb
1.0
-0.493 1.372 4.443
-0.251 4.555 1.026
-4.045 1.853 1.440
Sb Ni Mg Na
1 1 1 1
direct
0.250 0.250 0.250
0.500 0.500 0.500
0.750 0.750 0.750
0.000 0.000 0.000
```

## Properties
SG	F-43m
ΔE to the lowest computed polymorph	0.000	eV/atom